No. 1
VASP calculation (PBE-GGA) on an optimized crystal structure of ScZnReMo.

Computed properties:
Energy of formation from the pure elements   -0.084 eV/atom
Uncorrected energy   -7.8049 eV per atom
Space group   No. 216

Cell lengths 4.5028, 4.5028, 4.5028 Å; angles 60.00, 60.00, 60.00 degrees
Fractional coordinates of all 4 atoms:
Sc1 0.0000 0.0000 0.0000
Zn1 0.7500 0.7500 0.7500
Re1 0.2500 0.2500 0.2500
Mo1 0.5000 0.5000 0.5000



No. 2
VASP calculation (PBE-GGA) on an optimized crystal structure of ZrScReMo.

Computed properties:
Energy of formation from the pure elements   0.019 eV/atom
Uncorrected energy   -9.5210 eV per atom
Space group   No. 216

Cell lengths 4.6513, 4.6513, 4.6513 Å; angles 60.00, 60.00, 60.00 degrees
Fractional coordinates of all 4 atoms:
Zr1 0.0000 0.0000 0.0000
Sc1 0.7500 0.7500 0.7500
Re1 0.2500 0.2500 0.2500
Mo1 0.5000 0.5000 0.5000



Number 1: calculated volume 16.1 Å³ per atom. Number 2: calculated volume 17.8 Å³ per atom.